Version A
## BaCu2Ni2 (PBE)

Data for a relaxed structure of BaCu2Ni2.

Geometry as CIF:
```
data_BaCu2Ni2
_chemical_formula_sum 'Ba2 Cu4 Ni4'
_cell_length_a 4.1843
_cell_length_b 4.1843
_cell_length_c 10.2245
_cell_angle_alpha 90.00
_cell_angle_beta 90.00
_cell_angle_gamma 90.00
_symmetry_space_group_name_H-M 'I 4/m m m'
_symmetry_Int_Tables_number 139
_symmetry_space_group_name_Hall '-I 4 2'
loop_
_atom_site_label
_atom_site_type_symbol
_atom_site_fract_x
_atom_site_fract_y
_atom_site_fract_z
Ba1 Ba 0.0000 0.0000 0.0000
Cu1 Cu 0.0000 0.5000 0.2500
Ni1 Ni 0.0000 0.0000 0.3825
```



Version B
## BaCu2Ni2 (PBE)

Data for a relaxed structure of BaCu2Ni2.

Geometry as CIF:
```
data_BaCu2Ni2
_chemical_formula_sum 'Ba2 Cu4 Ni4'
_cell_length_a 7.4241
_cell_length_b 7.4241
_cell_length_c 2.9941
_cell_angle_alpha 90.00
_cell_angle_beta 90.00
_cell_angle_gamma 90.00
_symmetry_space_group_name_H-M 'P 4/m b m'
_symmetry_Int_Tables_number 127
_symmetry_space_group_name_Hall '-P 4 2ab'
loop_
_atom_site_label
_atom_site_type_symbol
_atom_site_fract_x
_atom_site_fract_y
_atom_site_fract_z
Ba1 Ba 0.0000 0.0000 0.0000
Cu1 Cu 0.1523 0.3477 0.5000
Ni1 Ni 0.1248 0.6248 0.0000
```



Version C
## BaCu2Ni2 (PBE)

Data for a relaxed structure of BaCu2Ni2.

Geometry as CIF:
```
data_BaCu2Ni2
_chemical_formula_sum 'Ba2 Cu4 Ni4'
_cell_length_a 5.9027
_cell_length_b 6.2180
_cell_length_c 5.6519
_cell_angle_alpha 90.00
_cell_angle_beta 117.97
_cell_angle_gamma 90.00
_symmetry_space_group_name_H-M 'C 1 2/m 1'
_symmetry_Int_Tables_number 12
loop_
_symmetry_equiv_pos_as_xyz
'x,y,z'
'-x,-y,-z'
'-x,y,-z'
'x,-y,z'
'x+1/2,y+1/2,z'
'-x+1/2,-y+1/2,-z'
'-x+1/2,y+1/2,-z'
'x+1/2,-y+1/2,z'
loop_
_atom_site_label
_atom_site_type_symbol
_atom_site_fract_x
_atom_site_fract_y
_atom_site_fract_z
Ba1 Ba 0.0000 0.0000 0.0000
Cu1 Cu 0.1103 0.5000 0.2790
Ni1 Ni 0.0000 0.2112 0.5000
```



Relative energies in eV/atom: version A 0.009; version B 0.144; version C 0.000



Version A
## Ba2CuNi2 (PBE)

Data for a relaxed structure of Ba2CuNi2.

Geometry as CIF:
```
data_Ba2CuNi2
_chemical_formula_sum 'Ba4 Cu2 Ni4'
_cell_length_a 7.5219
_cell_length_b 7.5219
_cell_length_c 4.4291
_cell_angle_alpha 90.00
_cell_angle_beta 90.00
_cell_angle_gamma 90.00
_symmetry_space_group_name_H-M 'P 4/m b m'
_symmetry_Int_Tables_number 127
_symmetry_space_group_name_Hall '-P 4 2ab'
loop_
_atom_site_label
_atom_site_type_symbol
_atom_site_fract_x
_atom_site_fract_y
_atom_site_fract_z
Ba1 Ba 0.1866 0.3134 0.0000
Cu1 Cu 0.0000 0.0000 0.5000
Ni1 Ni 0.1097 0.6097 0.5000
```



Version B
## Ba2CuNi2 (PBE)

Data for a relaxed structure of Ba2CuNi2.

Geometry as CIF:
```
data_Ba2CuNi2
_chemical_formula_sum 'Ba6 Cu3 Ni6'
_cell_length_a 4.2440
_cell_length_b 4.2440
_cell_length_c 28.2222
_cell_angle_alpha 90.00
_cell_angle_beta 90.00
_cell_angle_gamma 120.00
_symmetry_space_group_name_H-M 'R -3 m'
_symmetry_Int_Tables_number 166
_symmetry_space_group_name_Hall '-R 3 2"'
loop_
_atom_site_label
_atom_site_type_symbol
_atom_site_fract_x
_atom_site_fract_y
_atom_site_fract_z
Ba1 Ba 0.0000 0.0000 0.0768
Cu1 Cu 0.0000 0.0000 0.5000
Ni1 Ni 0.0000 0.0000 0.1776
```



Relative energies in eV/atom: version A 0.269; version B 0.000